# Sr2TaZn | Alexandria via LeMat-Bulk | PBE | relaxed
# * DOS(E_F): 3.95 states/eV per cell
# * VASP energy: -3.50 eV per atom
data_Sr2TaZn
_space_group_name_H-M_alt 'P 4/m m m'
_space_group_IT_number 123
_space_group_name_Hall '-P 4 2'
_cell_length_a 3.3942
_cell_length_b 3.3942
_cell_length_c 9.5685
_cell_angle_alpha 90.00
_cell_angle_beta 90.00
_cell_angle_gamma 90.00
loop_
_atom_site_label
_atom_site_fract_x
_atom_site_fract_y
_atom_site_fract_z
_atom_site_occupancy
Sr1 0.0000 0.0000 0.2418 1
Ta1 0.5000 0.5000 0.5000 1
Zn1 0.5000 0.5000 0.0000 1